No. 1
The following is a PBE-GGA calculation of a geometry-optimized RbBeAg structure, from Alexandria.

Computed properties:
The energy above the most stable polymorph in this dataset is 76 meV per atom. The calculated formation energy is 0.38 eV per atom. For the density of states at the Fermi level, the calculation gives 0.325 states/eV/atom. The uncorrected energy is -2.135 eV per atom. As for the density: 4.484 Mg/m³.

```
data_RbBeAg
_symmetry_space_group_name_H-M 'C 1 2/m 1'
_symmetry_Int_Tables_number 12
_cell_length_a 12.8956
_cell_length_b 4.1804
_cell_length_c 5.6116
_cell_angle_alpha 90.00
_cell_angle_beta 97.75
_cell_angle_gamma 90.00
loop_
_symmetry_equiv_pos_as_xyz
'x,y,z'
'-x,-y,-z'
'-x,y,-z'
'x,-y,z'
'x+1/2,y+1/2,z'
'-x+1/2,-y+1/2,-z'
'-x+1/2,y+1/2,-z'
'x+1/2,-y+1/2,z'
loop_
_atom_site_label
_atom_site_type_symbol
_atom_site_fract_x
_atom_site_fract_y
_atom_site_fract_z
Rb1 Rb 0.2223 0.0000 0.2409
Be1 Be 0.0187 0.0000 0.7214
Ag1 Ag 0.0000 0.5000 0.0000
Ag2 Ag 0.0000 0.5000 0.5000
```

***

No. 2
The following is a PBE-GGA calculation of a geometry-optimized RbBeAg structure, from Alexandria.

Computed properties:
The energy above the most stable polymorph in this dataset is 135 meV per atom. The calculated formation energy is 0.44 eV per atom. For the density of states at the Fermi level, the calculation gives 0.287 states/eV/atom. The uncorrected energy is -2.076 eV per atom. As for the density: 4.465 Mg/m³.

```
data_RbBeAg
_symmetry_space_group_name_H-M 'P 1'
_symmetry_Int_Tables_number 1
_cell_length_a 3.4164
_cell_length_b 3.5081
_cell_length_c 6.7368
_cell_angle_alpha 74.95
_cell_angle_beta 75.35
_cell_angle_gamma 89.99
loop_
_symmetry_equiv_pos_as_xyz
'x,y,z'
loop_
_atom_site_label
_atom_site_type_symbol
_atom_site_fract_x
_atom_site_fract_y
_atom_site_fract_z
Rb1 Rb 0.0000 0.0000 0.0000
Be1 Be 0.7536 0.2532 0.4990
Ag1 Ag 0.2519 0.7519 0.5016
```

***

No. 3
The following is a PBE-GGA calculation of a geometry-optimized Rb2BeAg2 structure, from Alexandria.

Computed properties:
The energy above the most stable polymorph in this dataset is 177 meV per atom. The calculated formation energy is 0.76 eV per atom. For the density of states at the Fermi level, the calculation gives 0.102 states/eV/atom. The uncorrected energy is -1.516 eV per atom. As for the density: 3.258 Mg/m³.

```
data_Rb2BeAg2
_symmetry_space_group_name_H-M 'P 4/m b m'
_symmetry_Int_Tables_number 127
_symmetry_space_group_name_Hall '-P 4 2ab'
_cell_length_a 9.8364
_cell_length_b 9.8364
_cell_length_c 4.1682
_cell_angle_alpha 90.00
_cell_angle_beta 90.00
_cell_angle_gamma 90.00
loop_
_atom_site_label
_atom_site_type_symbol
_atom_site_fract_x
_atom_site_fract_y
_atom_site_fract_z
Rb1 Rb 0.1849 0.3151 0.0000
Be1 Be 0.0000 0.0000 0.0000
Ag1 Ag 0.1025 0.6025 0.5000
```

***

No. 4
The following is a PBE-GGA calculation of a geometry-optimized RbBeAg structure, from Alexandria.

Computed properties:
The energy above the most stable polymorph in this dataset is 4 meV per atom. The calculated formation energy is 0.31 eV per atom. For the density of states at the Fermi level, the calculation gives 0.477 states/eV/atom. The uncorrected energy is -2.207 eV per atom. As for the density: 3.311 Mg/m³.

```
data_RbBeAg
_symmetry_space_group_name_H-M 'P 1 21 1'
_symmetry_Int_Tables_number 4
_cell_length_a 4.0032
_cell_length_b 4.6775
_cell_length_c 11.0093
_cell_angle_alpha 90.00
_cell_angle_beta 100.06
_cell_angle_gamma 90.00
loop_
_symmetry_equiv_pos_as_xyz
'x,y,z'
'-x,y+1/2,-z'
loop_
_atom_site_label
_atom_site_type_symbol
_atom_site_fract_x
_atom_site_fract_y
_atom_site_fract_z
Rb1 Rb 0.1431 0.0000 0.2973
Be1 Be 0.0001 0.2549 0.0003
Ag1 Ag 0.4670 0.0039 0.9310
```

***

No. 5
The following is a PBE-GGA calculation of a geometry-optimized Rb3BeAg structure, from Alexandria.

Computed properties:
The energy above the most stable polymorph in this dataset is 0 meV per atom. The calculated formation energy is 0.67 eV per atom. For the density of states at the Fermi level, the calculation gives 0.914 states/eV/atom. The uncorrected energy is -1.227 eV per atom. As for the density: 2.201 Mg/m³.

```
data_Rb3BeAg
_symmetry_space_group_name_H-M 'P m -3 m'
_symmetry_Int_Tables_number 221
_symmetry_space_group_name_Hall '-P 4 2 3'
_cell_length_a 6.5549
_cell_length_b 6.5549
_cell_length_c 6.5549
_cell_angle_alpha 90.00
_cell_angle_beta 90.00
_cell_angle_gamma 90.00
loop_
_atom_site_label
_atom_site_type_symbol
_atom_site_fract_x
_atom_site_fract_y
_atom_site_fract_z
Rb1 Rb 0.0000 0.0000 0.5000
Be1 Be 0.0000 0.0000 0.0000
Ag1 Ag 0.5000 0.5000 0.5000
```

***

No. 6
The following is a PBE-GGA calculation of a geometry-optimized RbBeAgS2 structure, from Alexandria.

Computed properties:
For the density of states at the Fermi level, the calculation gives 0.000 states/eV/atom. The uncorrected energy is -3.847 eV per atom. As for the density: 3.417 Mg/m³.

```
data_RbBeAgS2
_symmetry_space_group_name_H-M 'P 1 2/c 1'
_symmetry_Int_Tables_number 13
_cell_length_a 7.2931
_cell_length_b 4.9513
_cell_length_c 7.3772
_cell_angle_alpha 90.00
_cell_angle_beta 103.51
_cell_angle_gamma 90.00
loop_
_symmetry_equiv_pos_as_xyz
'x,y,z'
'-x,-y,-z'
'-x,y,-z+1/2'
'x,-y,z+1/2'
loop_
_atom_site_label
_atom_site_type_symbol
_atom_site_fract_x
_atom_site_fract_y
_atom_site_fract_z
Rb1 Rb 0.0000 0.2489 0.2500
Be1 Be 0.5000 0.5000 0.0000
Ag1 Ag 0.5000 0.0367 0.7500
S1 S 0.2952 0.2534 0.9580
```